Compound: KRb2Mn
Source: the Alexandria database
Functional: GGA-PBE
Structure: relaxed

CIF file:
```
data_KRb2Mn
_cell_length_a 9.672
_cell_length_b 9.672
_cell_length_c 9.672
_cell_angle_alpha 90.00
_cell_angle_beta 90.00
_cell_angle_gamma 90.00
_symmetry_space_group_name_H-M 'P 1'
_symmetry_Int_Tables_number 1
loop_
_symmetry_equiv_pos_as_xyz
'x,y,z'
loop_
_atom_site_label
_atom_site_fract_x
_atom_site_fract_y
_atom_site_fract_z
K1 0.000 0.000 0.000
K2 0.000 0.500 0.500
K3 0.500 0.000 0.500
K4 0.500 0.500 0.000
Rb1 0.250 0.250 0.250
Rb2 0.250 0.250 0.750
Rb3 0.250 0.750 0.250
Rb4 0.250 0.750 0.750
Rb5 0.750 0.250 0.250
Rb6 0.750 0.250 0.750
Rb7 0.750 0.750 0.250
Rb8 0.750 0.750 0.750
Mn1 0.000 0.000 0.500
Mn2 0.000 0.500 0.000
Mn3 0.500 0.000 0.000
Mn4 0.500 0.500 0.500
```

Properties
DFT formation energy = 666 meV/atom
space group = Fm-3m, No. 225

Compound: KRbMn2
Source: the Alexandria database
Functional: GGA-PBE
Structure: relaxed

CIF file:
```
data_KRbMn2
_cell_length_a 5.307
_cell_length_b 5.307
_cell_length_c 24.550
_cell_angle_alpha 90.00
_cell_angle_beta 90.00
_cell_angle_gamma 90.00
_symmetry_space_group_name_H-M 'P 1'
_symmetry_Int_Tables_number 1
loop_
_symmetry_equiv_pos_as_xyz
'x,y,z'
loop_
_atom_site_label
_atom_site_fract_x
_atom_site_fract_y
_atom_site_fract_z
K1 0.000 0.250 0.375
K2 0.000 0.750 0.625
K3 0.500 0.250 0.125
K4 0.500 0.750 0.875
Rb1 0.000 0.250 0.875
Rb2 0.000 0.750 0.125
Rb3 0.500 0.250 0.625
Rb4 0.500 0.750 0.375
Mn1 0.000 0.000 0.500
Mn2 0.000 0.500 0.500
Mn3 0.250 0.250 0.250
Mn4 0.250 0.750 0.750
Mn5 0.500 0.000 0.000
Mn6 0.500 0.500 0.000
Mn7 0.750 0.250 0.250
Mn8 0.750 0.750 0.750
```

Properties
DFT formation energy = 1220 meV/atom
space group = I4_1/amd, No. 141

Compound: KRbMn2
Source: the Alexandria database
Functional: GGA-PBE
Structure: relaxed

CIF file:
```
data_KRbMn2
_cell_length_a 8.560
_cell_length_b 8.560
_cell_length_c 8.560
_cell_angle_alpha 90.00
_cell_angle_beta 90.00
_cell_angle_gamma 90.00
_symmetry_space_group_name_H-M 'P 1'
_symmetry_Int_Tables_number 1
loop_
_symmetry_equiv_pos_as_xyz
'x,y,z'
loop_
_atom_site_label
_atom_site_fract_x
_atom_site_fract_y
_atom_site_fract_z
K1 0.000 0.000 0.000
K2 0.000 0.500 0.500
K3 0.500 0.000 0.500
K4 0.500 0.500 0.000
Rb1 0.000 0.000 0.500
Rb2 0.000 0.500 0.000
Rb3 0.500 0.000 0.000
Rb4 0.500 0.500 0.500
Mn1 0.250 0.250 0.250
Mn2 0.250 0.250 0.750
Mn3 0.250 0.750 0.250
Mn4 0.250 0.750 0.750
Mn5 0.750 0.250 0.250
Mn6 0.750 0.250 0.750
Mn7 0.750 0.750 0.250
Mn8 0.750 0.750 0.750
```

Properties
DFT formation energy = 1219 meV/atom
space group = Fm-3m, No. 225

Compound: K2RbMn
Source: the Alexandria database
Functional: GGA-PBE
Structure: relaxed

CIF file:
```
data_K2RbMn
_cell_length_a 5.717
_cell_length_b 5.717
_cell_length_c 27.875
_cell_angle_alpha 90.00
_cell_angle_beta 90.00
_cell_angle_gamma 90.00
_symmetry_space_group_name_H-M 'P 1'
_symmetry_Int_Tables_number 1
loop_
_symmetry_equiv_pos_as_xyz
'x,y,z'
loop_
_atom_site_label
_atom_site_fract_x
_atom_site_fract_y
_atom_site_fract_z
K1 0.224 0.250 0.125
K2 0.250 0.724 0.375
K3 0.250 0.776 0.875
K4 0.276 0.250 0.625
K5 0.724 0.750 0.625
K6 0.750 0.224 0.875
K7 0.750 0.276 0.375
K8 0.776 0.750 0.125
Rb1 0.000 0.000 0.500
Rb2 0.000 0.500 0.750
Rb3 0.500 0.000 0.250
Rb4 0.500 0.500 0.000
Mn1 0.000 0.000 0.000
Mn2 0.000 0.500 0.250
Mn3 0.500 0.000 0.750
Mn4 0.500 0.500 0.500
```

Properties
DFT formation energy = 733 meV/atom
space group = I-42d, No. 122
energy above the most stable polymorph in this dataset = 0.080 eV per atom

Compound: KRbMn2Rh
Source: the Alexandria database
Functional: GGA-PBE
Structure: relaxed

CIF file:
```
data_KRbMn2Rh
_cell_length_a 5.046
_cell_length_b 5.046
_cell_length_c 6.054
_cell_angle_alpha 90.00
_cell_angle_beta 90.00
_cell_angle_gamma 90.00
_symmetry_space_group_name_H-M 'P 1'
_symmetry_Int_Tables_number 1
loop_
_symmetry_equiv_pos_as_xyz
'x,y,z'
loop_
_atom_site_label
_atom_site_fract_x
_atom_site_fract_y
_atom_site_fract_z
K1 0.000 0.000 0.000
Rb1 0.500 0.500 0.000
Mn1 0.000 0.500 0.500
Mn2 0.500 0.000 0.500
Rh1 0.000 0.000 0.500
```

Properties
DFT formation energy = 664 meV/atom
space group = P4/mmm, No. 123

Compound: KRbMnRu2
Source: the Alexandria database
Functional: GGA-PBE
Structure: relaxed

CIF file:
```
data_KRbMnRu2
_cell_length_a 5.091
_cell_length_b 5.091
_cell_length_c 5.646
_cell_angle_alpha 90.00
_cell_angle_beta 90.00
_cell_angle_gamma 90.00
_symmetry_space_group_name_H-M 'P 1'
_symmetry_Int_Tables_number 1
loop_
_symmetry_equiv_pos_as_xyz
'x,y,z'
loop_
_atom_site_label
_atom_site_fract_x
_atom_site_fract_y
_atom_site_fract_z
K1 0.000 0.000 0.000
Rb1 0.500 0.500 0.500
Mn1 0.500 0.500 0.000
Ru1 0.000 0.500 0.500
Ru2 0.500 0.000 0.500
```

Properties
DFT formation energy = 2474 meV/atom
space group = P4/mmm, No. 123

Compound: KRbMnS3
Source: the Alexandria database
Functional: GGA-PBE
Structure: relaxed

CIF file:
```
data_KRbMnS3
_cell_length_a 8.196
_cell_length_b 8.196
_cell_length_c 6.463
_cell_angle_alpha 95.95
_cell_angle_beta 95.95
_cell_angle_gamma 127.91
_symmetry_space_group_name_H-M 'P 1'
_symmetry_Int_Tables_number 1
loop_
_symmetry_equiv_pos_as_xyz
'x,y,z'
loop_
_atom_site_label
_atom_site_fract_x
_atom_site_fract_y
_atom_site_fract_z
K1 0.095 0.905 0.750
K2 0.905 0.095 0.250
Rb1 0.261 0.739 0.250
Rb2 0.739 0.261 0.750
Mn1 0.454 0.546 0.750
Mn2 0.546 0.454 0.250
S1 0.263 0.345 0.994
S2 0.303 0.697 0.750
S3 0.345 0.263 0.494
S4 0.655 0.737 0.506
S5 0.697 0.303 0.250
S6 0.737 0.655 0.006
```

Properties
space group = C2/c, No. 15
final energy = -4.79 eV per atom

Compound: KRbMnV2
Source: the Alexandria database
Functional: GGA-PBE
Structure: relaxed

CIF file:
```
data_KRbMnV2
_cell_length_a 4.710
_cell_length_b 4.710
_cell_length_c 6.427
_cell_angle_alpha 90.00
_cell_angle_beta 90.00
_cell_angle_gamma 90.00
_symmetry_space_group_name_H-M 'P 1'
_symmetry_Int_Tables_number 1
loop_
_symmetry_equiv_pos_as_xyz
'x,y,z'
loop_
_atom_site_label
_atom_site_fract_x
_atom_site_fract_y
_atom_site_fract_z
K1 0.000 0.000 0.000
Rb1 0.500 0.500 0.000
Mn1 0.500 0.500 0.500
V1 0.000 0.500 0.500
V2 0.500 0.000 0.500
```

Properties
DFT formation energy = 1131 meV/atom
space group = P4/mmm, No. 123

Compound: KMnRe3
Source: the Alexandria database
Functional: GGA-PBE
Structure: relaxed

CIF file:
```
data_KMnRe3
_cell_length_a 4.592
_cell_length_b 4.592
_cell_length_c 4.592
_cell_angle_alpha 90.00
_cell_angle_beta 90.00
_cell_angle_gamma 90.00
_symmetry_space_group_name_H-M 'P 1'
_symmetry_Int_Tables_number 1
loop_
_symmetry_equiv_pos_as_xyz
'x,y,z'
loop_
_atom_site_label
_atom_site_fract_x
_atom_site_fract_y
_atom_site_fract_z
K1 0.000 0.000 0.000
Mn1 0.500 0.500 0.500
Re1 0.000 0.500 0.500
Re2 0.500 0.000 0.500
Re3 0.500 0.500 0.000
```

Properties
DFT formation energy = 1832 meV/atom
space group = Pm-3m, No. 221
energy above the most stable polymorph in this dataset = 0.000 eV per atom

Compound: K2MnRe
Source: the Alexandria database
Functional: GGA-PBE
Structure: relaxed

CIF file:
```
data_K2MnRe
_cell_length_a 3.195
_cell_length_b 4.629
_cell_length_c 12.007
_cell_angle_alpha 90.00
_cell_angle_beta 90.00
_cell_angle_gamma 90.00
_symmetry_space_group_name_H-M 'P 1'
_symmetry_Int_Tables_number 1
loop_
_symmetry_equiv_pos_as_xyz
'x,y,z'
loop_
_atom_site_label
_atom_site_fract_x
_atom_site_fract_y
_atom_site_fract_z
K1 0.000 0.000 0.240
K2 0.000 0.000 0.760
K3 0.500 0.500 0.240
K4 0.500 0.500 0.760
Mn1 0.000 0.500 0.500
Mn2 0.500 0.000 0.500
Re1 0.000 0.500 0.000
Re2 0.500 0.000 0.000
```

Properties
DFT formation energy = 1375 meV/atom
space group = Cmmm, No. 65
energy above the most stable polymorph in this dataset = 0.541 eV per atom

Compound: K2MnRe
Source: the Alexandria database
Functional: GGA-PBE
Structure: relaxed

CIF file:
```
data_K2MnRe
_cell_length_a 3.903
_cell_length_b 3.903
_cell_length_c 11.723
_cell_angle_alpha 90.00
_cell_angle_beta 90.00
_cell_angle_gamma 90.00
_symmetry_space_group_name_H-M 'P 1'
_symmetry_Int_Tables_number 1
loop_
_symmetry_equiv_pos_as_xyz
'x,y,z'
loop_
_atom_site_label
_atom_site_fract_x
_atom_site_fract_y
_atom_site_fract_z
K1 0.000 0.500 0.250
K2 0.000 0.500 0.750
K3 0.500 0.000 0.250
K4 0.500 0.000 0.750
Mn1 0.000 0.000 0.000
Mn2 0.500 0.500 0.500
Re1 0.000 0.000 0.500
Re2 0.500 0.500 0.000
```

Properties
DFT formation energy = 1544 meV/atom
space group = I4/mmm, No. 139
energy above the most stable polymorph in this dataset = 0.710 eV per atom

Compound: K2MnRe
Source: the Alexandria database
Functional: GGA-PBE
Structure: relaxed

CIF file:
```
data_K2MnRe
_cell_length_a 3.365
_cell_length_b 6.062
_cell_length_c 11.514
_cell_angle_alpha 90.00
_cell_angle_beta 90.00
_cell_angle_gamma 90.00
_symmetry_space_group_name_H-M 'P 1'
_symmetry_Int_Tables_number 1
loop_
_symmetry_equiv_pos_as_xyz
'x,y,z'
loop_
_atom_site_label
_atom_site_fract_x
_atom_site_fract_y
_atom_site_fract_z
K1 0.000 0.000 0.000
K2 0.000 0.500 0.208
K3 0.500 0.000 0.708
K4 0.500 0.500 0.500
Mn1 0.000 0.500 0.789
Mn2 0.500 0.000 0.289
Re1 0.000 0.000 0.408
Re2 0.500 0.500 0.908
```

Properties
DFT formation energy = 1168 meV/atom
space group = Imm2, No. 44
energy above the most stable polymorph in this dataset = 0.334 eV per atom

| no. | total magnetization (μB/f.u.) |
| --- | --- |
| 1 | 4.4 |
| 2 | 8.6 |
| 3 | 8.7 |
| 4 | 4.5 |
| 5 | 9.2 |
| 6 | 7.4 |
| 7 | 3.0 |
| 8 | 3.5 |
| 9 | 2.3 |
| 10 | 3.8 |
| 11 | 2.1 |
| 12 | 0.0 |